# Ce2SnCl8, optimized geometry, DFT PBE
data_Ce2SnCl8
_chemical_formula_sum 'Ce4 Sn2 Cl16'
_cell_length_a 21.469
_cell_length_b 4.091
_cell_length_c 7.768
_cell_angle_alpha 90.00
_cell_angle_beta 95.40
_cell_angle_gamma 90.00
_symmetry_space_group_name_H-M 'C 1 2/m 1'
_symmetry_Int_Tables_number 12
_symmetry_space_group_name_Hall '-C 2y'
loop_
_atom_site_label
_atom_site_type_symbol
_atom_site_fract_x
_atom_site_fract_y
_atom_site_fract_z
Ce1 Ce 0.160 0.000 0.338
Sn1 Sn 0.000 0.500 0.000
Cl1 Cl 0.022 0.000 0.252
Cl2 Cl 0.115 0.500 0.532
Cl3 Cl 0.135 0.500 0.066
Cl4 Cl 0.242 0.000 0.672
# **Electronic total energy**: -4.6504 eV per atom
# **Raw formation energy**: -1.865 eV per atom